Below is Cs2TaTlSe4 after structural relaxation, with properties calculated at the PBE-GGA level.

Values from the calculation:
- Magnetization: 0.00 μB/f.u.
- Calculated density: 4.58 g/cm³
- E: -4.66 eV per atom

The structure in POSCAR format:
```
Cs2TaTlSe4
1.0
-2.920 -2.541 6.534
-1.633 -7.825 0.641
10.590 -3.412 7.819
Cs Se Ta Tl
4 8 2 2
Direct
0.818 0.000 0.365
0.182 0.000 0.635
0.932 0.500 0.135
0.568 0.500 0.865
0.266 0.197 0.895
0.484 0.303 0.605
0.213 0.303 0.395
0.911 0.697 0.605
0.537 0.197 0.105
0.358 0.803 0.105
0.392 0.697 0.395
0.839 0.803 0.895
0.250 0.500 0.500
0.500 0.000 0.000
0.000 0.000 0.000
0.750 0.500 0.500
```